No. 1
VASP calculation (PBE) on a relaxed structure of NaMgTl2.

Properties
The relative energy among the computed polymorphs is 0 meV/atom. The total energy comes out at -2.022 eV/atom. The density of states at the Fermi level is 1.2 states/eV/cell. As for the space group: No. 123. Its theoretical density is 7.1 g cm⁻³.

a = 3.649 Å, b = 3.649 Å, c = 7.988 Å
α = 90.00°, β = 90.00°, γ = 90.00°
Atoms (fractional coordinates):
Na: 0.500 0.500 0.500
Tl: 0.000 0.000 0.770
Tl: 0.000 0.000 0.230
Mg: 0.500 0.500 0.000

=====

No. 2
VASP calculation (PBE) on a relaxed structure of NaMg4Tl.

Properties
The total energy comes out at -1.619 eV/atom. The density of states at the Fermi level is 4.6 states/eV/cell. As for the space group: No. 216. Its theoretical density is 3.4 g cm⁻³.

a = 6.059 Å, b = 6.059 Å, c = 6.059 Å
α = 60.00°, β = 60.00°, γ = 60.00°
Atoms (fractional coordinates):
Na: 0.250 0.250 0.250
Tl: 0.000 0.000 0.000
Mg: 0.625 0.625 0.125
Mg: 0.625 0.125 0.625
Mg: 0.625 0.625 0.625
Mg: 0.125 0.625 0.625

=====

No. 3
VASP calculation (PBE) on a relaxed structure of Na3Mg3Tl5.

Properties
The relative energy among the computed polymorphs is 0 meV/atom. The total energy comes out at -1.918 eV/atom. The density of states at the Fermi level is 4.0 states/eV/cell. As for the space group: No. 1. Its theoretical density is 6.3 g cm⁻³.

a = 3.476 Å, b = 9.505 Å, c = 10.098 Å
α = 106.50°, β = 80.42°, γ = 80.29°
Atoms (fractional coordinates):
Na: 0.822 0.602 0.967
Na: 0.912 0.835 0.520
Na: 0.068 0.480 0.563
Mg: 0.607 0.989 0.993
Mg: 0.864 0.212 0.254
Mg: 0.143 0.115 0.781
Tl: 0.656 0.564 0.298
Tl: 0.715 0.183 0.551
Tl: 0.414 0.327 0.033
Tl: 0.323 0.769 0.770
Tl: 0.478 0.924 0.271

=====

No. 4
VASP calculation (PBE) on a relaxed structure of Na8MgTl6.

Properties
The total energy comes out at -1.826 eV/atom. The density of states at the Fermi level is 7.2 states/eV/cell. As for the space group: No. 148. Its theoretical density is 5.0 g cm⁻³.

a = 8.441 Å, b = 8.441 Å, c = 8.441 Å
α = 65.06°, β = 65.06°, γ = 65.06°
Atoms (fractional coordinates):
Na: 0.224 0.533 0.886
Na: 0.114 0.776 0.467
Na: 0.467 0.114 0.776
Na: 0.664 0.664 0.664
Na: 0.336 0.336 0.336
Na: 0.533 0.886 0.224
Na: 0.886 0.224 0.533
Na: 0.776 0.467 0.114
Mg: 0.000 0.000 0.000
Tl: 0.046 0.365 0.727
Tl: 0.273 0.954 0.635
Tl: 0.635 0.273 0.954
Tl: 0.365 0.727 0.046
Tl: 0.727 0.046 0.365
Tl: 0.954 0.635 0.273

=====

No. 5
VASP calculation (PBE) on a relaxed structure of Na3MgTl.

Properties
The relative energy among the computed polymorphs is 158 meV/atom. The total energy comes out at -1.288 eV/atom. The density of states at the Fermi level is 3.4 states/eV/cell. As for the space group: No. 221. Its theoretical density is 2.4 g cm⁻³.

a = 5.895 Å, b = 5.895 Å, c = 5.895 Å
α = 90.00°, β = 90.00°, γ = 90.00°
Atoms (fractional coordinates):
Na: 0.000 0.500 0.000
Na: 0.000 0.000 0.500
Na: 0.500 0.000 0.000
Tl: 0.000 0.000 0.000
Mg: 0.500 0.500 0.500

=====

No. 6
VASP calculation (PBE) on a relaxed structure of NaMgTl2.

Properties
The relative energy among the computed polymorphs is 17 meV/atom. The total energy comes out at -2.005 eV/atom. The density of states at the Fermi level is 2.6 states/eV/cell. As for the space group: No. 225. Its theoretical density is 7.2 g cm⁻³.

a = 5.291 Å, b = 5.291 Å, c = 5.291 Å
α = 60.00°, β = 60.00°, γ = 60.00°
Atoms (fractional coordinates):
Na: 0.000 0.000 0.000
Tl: 0.250 0.250 0.250
Tl: 0.750 0.750 0.750
Mg: 0.500 0.500 0.500

=====

No. 7
VASP calculation (PBE) on a relaxed structure of NaMg4Tl8.

Properties
The relative energy among the computed polymorphs is 53 meV/atom. The total energy comes out at -2.007 eV/atom. The density of states at the Fermi level is 3.7 states/eV/cell. As for the space group: No. 166. Its theoretical density is 7.8 g cm⁻³.

a = 10.312 Å, b = 10.312 Å, c = 10.312 Å
α = 38.07°, β = 38.07°, γ = 38.07°
Atoms (fractional coordinates):
Na: 0.000 0.000 0.000
Mg: 0.500 0.500 0.500
Mg: 0.500 0.500 0.000
Mg: 0.000 0.500 0.500
Mg: 0.500 0.000 0.500
Tl: 0.762 0.251 0.251
Tl: 0.251 0.251 0.762
Tl: 0.251 0.762 0.251
Tl: 0.197 0.197 0.197
Tl: 0.803 0.803 0.803
Tl: 0.749 0.749 0.238
Tl: 0.749 0.238 0.749
Tl: 0.238 0.749 0.749

=====

No. 8
VASP calculation (PBE) on a relaxed structure of NaMg3Tl4.

Properties
The relative energy among the computed polymorphs is 0 meV/atom. The total energy comes out at -2.014 eV/atom. The density of states at the Fermi level is 5.7 states/eV/cell. As for the space group: No. 123. Its theoretical density is 7.5 g cm⁻³.

a = 5.176 Å, b = 7.561 Å, c = 10.358 Å
α = 90.00°, β = 90.00°, γ = 90.00°
Atoms (fractional coordinates):
Na: 0.000 0.500 0.000
Na: 0.000 0.500 0.500
Mg: 0.000 0.000 0.000
Mg: 0.000 0.000 0.500
Mg: 0.500 0.000 0.750
Mg: 0.500 0.000 0.250
Mg: 0.501 0.500 0.750
Mg: 0.499 0.500 0.250
Tl: 0.500 0.756 0.000
Tl: 0.500 0.756 0.500
Tl: 0.500 0.244 0.000
Tl: 0.500 0.244 0.500
Tl: 0.000 0.756 0.750
Tl: 0.000 0.756 0.250
Tl: 0.000 0.244 0.250
Tl: 0.000 0.244 0.750

=====

No. 9
VASP calculation (PBE) on a relaxed structure of NaMg6Tl6.

Properties
The total energy comes out at -1.968 eV/atom. The density of states at the Fermi level is 5.2 states/eV/cell. As for the space group: No. 71. Its theoretical density is 6.9 g cm⁻³.

a = 6.298 Å, b = 7.985 Å, c = 7.985 Å
α = 77.05°, β = 66.78°, γ = 66.78°
Atoms (fractional coordinates):
Na: 0.000 0.000 0.000
Mg: 0.000 0.500 0.000
Mg: 0.500 0.500 0.000
Mg: 0.000 0.000 0.500
Mg: 0.500 0.000 0.500
Mg: 0.500 0.754 0.246
Mg: 0.500 0.246 0.754
Tl: 0.334 0.666 0.666
Tl: 0.666 0.334 0.334
Tl: 0.000 0.337 0.663
Tl: 0.000 0.663 0.337
Tl: 0.329 0.171 0.171
Tl: 0.671 0.829 0.829

=====

No. 10
VASP calculation (PBE) on a relaxed structure of NaMg2Tl7.

Properties
The total energy comes out at -1.967 eV/atom. The density of states at the Fermi level is 4.7 states/eV/cell. As for the space group: No. 65. Its theoretical density is 7.2 g cm⁻³.

a = 5.226 Å, b = 8.700 Å, c = 8.700 Å
α = 119.50°, β = 90.00°, γ = 90.00°
Atoms (fractional coordinates):
Na: 0.000 0.000 0.000
Mg: 0.500 0.697 0.303
Mg: 0.500 0.303 0.697
Tl: 0.000 0.776 0.224
Tl: 0.000 0.224 0.776
Tl: 0.500 0.067 0.302
Tl: 0.500 0.933 0.698
Tl: 0.500 0.302 0.067
Tl: 0.500 0.698 0.933
Tl: 0.500 0.500 0.500

=====

No. 11
VASP calculation (PBE) on a relaxed structure of Na2MgTl3.

Properties
The relative energy among the computed polymorphs is 36 meV/atom. The total energy comes out at -1.951 eV/atom. The density of states at the Fermi level is 4.9 states/eV/cell. As for the space group: No. 2. Its theoretical density is 6.8 g cm⁻³.

a = 5.857 Å, b = 6.258 Å, c = 10.625 Å
α = 83.31°, β = 73.38°, γ = 63.70°
Atoms (fractional coordinates):
Na: 0.000 0.000 0.000
Na: 0.500 0.000 0.500
Na: 0.162 0.674 0.501
Na: 0.838 0.326 0.499
Mg: 0.667 0.661 0.000
Mg: 0.333 0.339 0.000
Tl: 0.423 0.657 0.757
Tl: 0.266 0.000 0.239
Tl: 0.577 0.343 0.243
Tl: 0.921 0.657 0.242
Tl: 0.079 0.343 0.758
Tl: 0.734 0.000 0.761

=====

No. 12
VASP calculation (PBE) on a relaxed structure of Na6MgTl12.

Properties
The total energy comes out at -2.052 eV/atom. The density of states at the Fermi level is 8.6 states/eV/cell. As for the space group: No. 148. Its theoretical density is 7.8 g cm⁻³.

a = 8.237 Å, b = 8.237 Å, c = 8.237 Å
α = 93.06°, β = 93.06°, γ = 93.06°
Atoms (fractional coordinates):
Na: 0.716 0.882 0.264
Na: 0.736 0.284 0.118
Na: 0.118 0.736 0.284
Na: 0.284 0.118 0.736
Na: 0.264 0.716 0.882
Na: 0.882 0.264 0.716
Mg: 0.000 0.000 0.000
Tl: 0.794 0.535 0.455
Tl: 0.455 0.794 0.535
Tl: 0.535 0.455 0.794
Tl: 0.206 0.465 0.545
Tl: 0.545 0.206 0.465
Tl: 0.465 0.545 0.206
Tl: 0.045 0.139 0.366
Tl: 0.861 0.634 0.955
Tl: 0.634 0.955 0.861
Tl: 0.955 0.861 0.634
Tl: 0.139 0.366 0.045
Tl: 0.366 0.045 0.139

=====

No. 13
VASP calculation (PBE) on a relaxed structure of Na2MgTl4.

Properties
The relative energy among the computed polymorphs is 102 meV/atom. The total energy comes out at -1.887 eV/atom. The density of states at the Fermi level is 3.0 states/eV/cell. As for the space group: No. 65. Its theoretical density is 6.1 g cm⁻³.

a = 5.275 Å, b = 6.335 Å, c = 7.882 Å
α = 113.70°, β = 90.00°, γ = 90.00°
Atoms (fractional coordinates):
Na: 0.500 0.134 0.269
Na: 0.500 0.866 0.731
Mg: 0.000 0.500 0.000
Tl: 0.500 0.609 0.218
Tl: 0.000 0.722 0.445
Tl: 0.500 0.391 0.782
Tl: 0.000 0.278 0.555

=====

No. 14
VASP calculation (PBE) on a relaxed structure of Na2MgTl7.

Properties
The relative energy among the computed polymorphs is 194 meV/atom. The total energy comes out at -1.878 eV/atom. The density of states at the Fermi level is 3.3 states/eV/cell. As for the space group: No. 225. Its theoretical density is 6.7 g cm⁻³.

a = 8.089 Å, b = 8.089 Å, c = 8.089 Å
α = 60.00°, β = 60.00°, γ = 60.00°
Atoms (fractional coordinates):
Na: 0.250 0.250 0.250
Na: 0.750 0.750 0.750
Mg: 0.000 0.000 0.000
Tl: 0.500 0.500 0.500
Tl: 0.243 0.757 0.757
Tl: 0.243 0.757 0.243
Tl: 0.757 0.243 0.757
Tl: 0.757 0.757 0.243
Tl: 0.243 0.243 0.757
Tl: 0.757 0.243 0.243

=====

No. 15
VASP calculation (PBE) on a relaxed structure of Na6MgTl10.

Properties
The total energy comes out at -2.011 eV/atom. The density of states at the Fermi level is 8.2 states/eV/cell. As for the space group: No. 162. Its theoretical density is 7.5 g cm⁻³.

a = 6.679 Å, b = 9.189 Å, c = 9.189 Å
α = 120.00°, β = 90.00°, γ = 90.00°
Atoms (fractional coordinates):
Na: 0.709 0.381 0.381
Na: 0.709 0.000 0.619
Na: 0.709 0.619 0.000
Na: 0.291 0.619 0.619
Na: 0.291 0.000 0.381
Na: 0.291 0.381 0.000
Mg: 0.500 0.000 0.000
Tl: 0.810 0.738 0.738
Tl: 0.810 0.000 0.262
Tl: 0.810 0.262 0.000
Tl: 0.190 0.262 0.262
Tl: 0.190 0.000 0.738
Tl: 0.190 0.738 0.000
Tl: 0.500 0.333 0.667
Tl: 0.500 0.667 0.333
Tl: 0.000 0.667 0.333
Tl: 0.000 0.333 0.667

=====

No. 16
VASP calculation (PBE) on a relaxed structure of Na2Mg3Tl8.

Properties
The relative energy among the computed polymorphs is 2 meV/atom. The total energy comes out at -2.004 eV/atom. The density of states at the Fermi level is 6.3 states/eV/cell. As for the space group: No. 10. Its theoretical density is 7.3 g cm⁻³.

a = 4.681 Å, b = 9.483 Å, c = 10.190 Å
α = 117.60°, β = 90.00°, γ = 90.00°
Atoms (fractional coordinates):
Na: 0.500 0.262 0.519
Na: 0.500 0.738 0.481
Mg: 0.500 0.000 0.000
Mg: 0.000 0.219 0.999
Mg: 0.000 0.781 0.001
Tl: 0.000 0.595 0.190
Tl: 0.000 0.405 0.810
Tl: 0.000 0.134 0.270
Tl: 0.000 0.866 0.730
Tl: 0.500 0.634 0.770
Tl: 0.500 0.134 0.766
Tl: 0.500 0.866 0.234
Tl: 0.500 0.366 0.230

=====

No. 17
VASP calculation (PBE) on a relaxed structure of Na5Mg2Tl12.

Properties
The relative energy among the computed polymorphs is 0 meV/atom. The total energy comes out at -2.006 eV/atom. The density of states at the Fermi level is 9.7 states/eV/cell. As for the space group: No. 12. Its theoretical density is 7.6 g cm⁻³.

a = 6.041 Å, b = 8.508 Å, c = 11.930 Å
α = 110.89°, β = 95.60°, γ = 90.00°
Atoms (fractional coordinates):
Na: 0.570 0.274 0.547
Na: 0.077 0.366 0.732
Na: 0.500 0.000 0.000
Na: 0.923 0.634 0.268
Na: 0.430 0.726 0.453
Mg: 0.000 0.691 0.000
Mg: 0.000 0.309 0.000
Tl: 0.061 0.074 0.149
Tl: 0.852 0.982 0.595
Tl: 0.852 0.613 0.595
Tl: 0.387 0.055 0.732
Tl: 0.387 0.677 0.732
Tl: 0.604 0.437 0.873
Tl: 0.396 0.563 0.127
Tl: 0.613 0.945 0.268
Tl: 0.613 0.323 0.268
Tl: 0.148 0.018 0.405
Tl: 0.148 0.387 0.405
Tl: 0.939 0.926 0.851

=====

No. 18
VASP calculation (PBE) on a relaxed structure of Na2Mg5Tl5.

Properties
The total energy comes out at -1.913 eV/atom. The density of states at the Fermi level is 4.7 states/eV/cell. As for the space group: No. 12. Its theoretical density is 6.4 g cm⁻³.

a = 4.132 Å, b = 7.863 Å, c = 10.198 Å
α = 77.92°, β = 78.31°, γ = 74.77°
Atoms (fractional coordinates):
Na: 0.916 0.411 0.756
Na: 0.084 0.589 0.244
Mg: 0.835 0.832 0.498
Mg: 0.245 0.768 0.742
Mg: 0.755 0.232 0.258
Mg: 0.165 0.168 0.502
Mg: 0.000 0.000 0.000
Tl: 0.500 0.500 0.500
Tl: 0.335 0.317 0.012
Tl: 0.407 0.926 0.261
Tl: 0.593 0.074 0.739
Tl: 0.665 0.683 0.988

=====

No. 19
VASP calculation (PBE) on a relaxed structure of NaMgTl.

Properties
The relative energy among the computed polymorphs is 16 meV/atom. The total energy comes out at -1.797 eV/atom. The density of states at the Fermi level is 3.0 states/eV/cell. As for the space group: No. 12. Its theoretical density is 5.3 g cm⁻³.

a = 6.384 Å, b = 6.382 Å, c = 6.467 Å
α = 57.81°, β = 57.80°, γ = 47.96°
Atoms (fractional coordinates):
Na: 0.415 0.373 0.907
Na: 0.425 0.383 0.404
Mg: 0.751 0.709 0.370
Mg: 0.089 0.047 0.941
Tl: 0.092 0.050 0.439
Tl: 0.748 0.705 0.872

=====

No. 20
VASP calculation (PBE) on a relaxed structure of Na3Mg4Tl4.

Properties
The total energy comes out at -1.830 eV/atom. The density of states at the Fermi level is 5.9 states/eV/cell. As for the space group: No. 71. Its theoretical density is 5.3 g cm⁻³.

a = 4.690 Å, b = 8.448 Å, c = 9.205 Å
α = 117.32°, β = 104.76°, γ = 90.00°
Atoms (fractional coordinates):
Na: 0.121 0.121 0.241
Na: 0.879 0.879 0.759
Na: 0.000 0.500 0.000
Mg: 0.322 0.129 0.645
Mg: 0.678 0.485 0.355
Mg: 0.678 0.871 0.355
Mg: 0.322 0.515 0.645
Tl: 0.224 0.724 0.448
Tl: 0.776 0.276 0.552
Tl: 0.500 0.805 0.000
Tl: 0.500 0.195 0.000

=====

No. 21
VASP calculation (PBE) on a relaxed structure of Na2MgZrTl.

Properties
The total energy comes out at -2.375 eV/atom. The density of states at the Fermi level is 4.6 states/eV/cell. As for the space group: No. 123. Its theoretical density is 3.6 g cm⁻³.

a = 5.509 Å, b = 5.638 Å, c = 5.509 Å
α = 90.00°, β = 90.00°, γ = 90.00°
Atoms (fractional coordinates):
Na: 0.000 0.000 0.500
Na: 0.500 0.000 0.000
Tl: 0.000 0.000 0.000
Mg: 0.500 0.500 0.500
Zr: 0.000 0.500 0.000